# 1
A plane-wave DFT calculation with PBE was carried out for a relaxed CePu2Tl9 crystal.

- E (eV/cell) = -57.13

a b c (Å): 4.820 4.820 14.476
angles (deg): 90.00 90.00 90.00
Last column: magnetic moment on the atom in μB.
Atoms (fractional coordinates):
Ce  0.000  0.000  0.000  0.85
Pu  0.000  0.000  0.335  5.46
Pu  0.000  0.000  0.665  5.46
Tl  0.500  0.500  0.000  0.00
Tl  0.500  0.500  0.334  0.01
Tl  0.500  0.500  0.666  0.01
Tl  0.500  0.000  0.168  0.00
Tl  0.500  0.000  0.500  0.01
Tl  0.500  0.000  0.832  0.00
Tl  0.000  0.500  0.168  0.00
Tl  0.000  0.500  0.500  0.01
Tl  0.000  0.500  0.832  0.00

=====

# 2
A plane-wave DFT calculation with PBE was carried out for a relaxed CePuTl2 crystal.

- relative energy among the computed polymorphs (meV/atom) = 0
- E (eV/cell) = -25.62

a b c (Å): 4.831 4.771 4.771
angles (deg): 90.00 90.00 90.00
Last column: magnetic moment on the atom in μB.
Atoms (fractional coordinates):
Tl  0.000  0.000  0.500  -0.02
Tl  0.000  0.500  0.000  -0.02
Ce  0.500  0.000  0.000  0.94
Pu  0.500  0.500  0.500  5.59

=====

Table of density (g/cm3), in record order: 12.2, 12.0
Table of E_form (kJ/mol of formula units), in record order: -119, -60